# YCo3F | Alexandria via LeMat-Bulk | PBE+U | relaxed
# total magnetic moment: 7.01 μB per formula unit
# ΔE to the lowest computed polymorph: 1582 meV per atom
data_YCo3F
_cell_length_a 5.1889
_cell_length_b 5.1889
_cell_length_c 5.1889
_cell_angle_alpha 90.00
_cell_angle_beta 90.00
_cell_angle_gamma 90.00
_symmetry_space_group_name_H-M 'P 1'
_symmetry_Int_Tables_number 1
_symmetry_space_group_name_Hall 'P 1'
loop_
_atom_site_label
_atom_site_fract_x
_atom_site_fract_y
_atom_site_fract_z
Y1 0.0000 0.0000 0.0000
Co1 0.0000 0.0000 0.5000
Co2 0.0000 0.5000 0.0000
Co3 0.5000 0.0000 0.0000
F1 0.5000 0.5000 0.5000